## one
A relaxed structure of CdSeS2Cl. Source: the Alexandria database, functional GGA-PBE.

Cell and atoms, written as POSCAR:
```
CdSeS2Cl
1.0
5.058 0.000 0.000
0.000 5.058 0.000
0.000 0.000 4.913
Cd Se S Cl
1 1 2 1
Cartesian
0.000 0.000 0.000 Cd
2.529 2.529 2.457 Se
0.000 2.529 0.000 S
2.529 0.000 0.000 S
0.000 0.000 2.457 Cl
```

Properties
SG ... P4/mmm

---

## two
A relaxed structure of CdSeS2Cl. Source: the Alexandria database, functional GGA-PBE.

Cell and atoms, written as POSCAR:
```
CdSeS2Cl
1.0
4.924 0.000 0.000
0.000 4.924 0.000
0.000 0.000 4.800
Cd Se S Cl
1 1 2 1
Cartesian
0.000 0.000 0.000 Cd
2.462 2.462 2.400 Se
0.000 2.462 2.400 S
2.462 0.000 2.400 S
2.462 2.462 0.000 Cl
```

Properties
SG ... P4/mmm

---

The most stable arrangement is two, and the next structure is 0.381 eV/atom less stable.